--- 1 ---
The following is a PBE calculation of a relaxed structure of CsTl3S, from the Alexandria database.

- Total magnetization: 0.0 μB per formula unit

Cell: 6.5742 6.5742 6.5742 Å, 90.00 90.00 90.00°
Closest atoms and distances in Å follow each position.
Atoms (fractional coordinates):
1 Cs 0.0000 0.0000 0.0000  6 Tl 3.29
2 Tl 0.0000 0.5000 0.0000  2 Cs 3.29
3 Tl 0.5000 0.0000 0.0000  2 Cs 3.29
4 Tl 0.0000 0.0000 0.5000  2 Cs 3.29
5 S 0.5000 0.5000 0.5000  12 Tl 4.65



--- 2 ---
The following is a PBE calculation of a relaxed structure of CsTl3S, from the Alexandria database.

- Total magnetization: 0.0 μB per formula unit

Cell: 6.0402 6.0402 6.0402 Å, 90.00 90.00 90.00°
Closest atoms and distances in Å follow each position.
Atoms (fractional coordinates):
1 Tl 0.0000 0.0000 0.5000  2 S 3.02
2 S 0.0000 0.0000 0.0000  6 Tl 3.02
3 Cs 0.5000 0.5000 0.5000  12 Tl 4.27
4 Tl 0.0000 0.5000 0.0000  2 S 3.02
5 Tl 0.5000 0.0000 0.0000  2 S 3.02



Stability ranking, top entry: 2; the second entry is 986 meV/atom less favorable.



--- 1 ---
The following is a PBE calculation of a relaxed structure of CsTl3S3, from the Alexandria database.

- Total magnetization: 0.0 μB per formula unit

Cell: 8.6219 8.6219 9.4618 Å, 62.90 62.90 60.00°
Closest atoms and distances in Å follow each position.
Atoms (fractional coordinates):
1 S 0.9063 0.2545 0.2977  4 Tl 2.86-2.95
2 S 0.7455 0.4585 0.7023  4 Tl 2.86-2.95
3 Tl 0.8006 0.1236 0.6526  4 S 2.86-2.95
4 Tl 0.5769 0.1994 0.3474  4 S 2.86-2.95
5 S 0.0937 0.7455 0.7023  4 Tl 2.86-2.95
6 Cs 0.3326 0.3326 0.0022  6 S 3.63-3.71, 3 Tl 4.06
7 S 0.2545 0.5415 0.2977  4 Tl 2.86-2.95
8 Tl 0.4231 0.8006 0.6526  4 S 2.86-2.95
9 S 0.5415 0.9063 0.2977  4 Tl 2.86-2.95
10 Tl 0.1994 0.8764 0.3474  4 S 2.86-2.95
11 Tl 0.1236 0.4231 0.6526  4 S 2.86-2.95
12 Cs 0.6674 0.6674 0.9978  6 S 3.63-3.71, 3 Tl 4.06
13 S 0.4585 0.0937 0.7023  4 Tl 2.86-2.95
14 Tl 0.8764 0.5769 0.3474  4 S 2.86-2.95



--- 2 ---
The following is a PBE calculation of a relaxed structure of CsTl3S3, from the Alexandria database.

- Total magnetization: 0.0 μB per formula unit

Cell: 8.1045 8.1045 8.1045 Å, 90.00 90.00 90.00°
Closest atoms and distances in Å follow each position.
Atoms (fractional coordinates):
1 S 0.2500 0.5000 0.0000  4 Tl 2.87
2 Cs 0.5000 0.5000 0.5000  12 S 4.53, 12 Tl 4.53
3 Tl 0.5000 0.2500 0.0000  4 S 2.87
4 S 0.7500 0.5000 0.0000  4 Tl 2.87
5 Tl 0.0000 0.5000 0.2500  4 S 2.87
6 Tl 0.5000 0.7500 0.0000  4 S 2.87
7 Tl 0.0000 0.5000 0.7500  4 S 2.87
8 S 0.5000 0.0000 0.7500  4 Tl 2.87
9 Tl 0.7500 0.0000 0.5000  4 S 2.87
10 Tl 0.2500 0.0000 0.5000  4 S 2.87
11 S 0.0000 0.2500 0.5000  4 Tl 2.87
12 S 0.0000 0.7500 0.5000  4 Tl 2.87
13 Cs 0.0000 0.0000 0.0000  12 S 4.53, 12 Tl 4.53
14 S 0.5000 0.0000 0.2500  4 Tl 2.87



Stability ranking, top entry: 1; the second entry is 79 meV/atom less favorable.



--- 1 ---
The following is a PBE calculation of a relaxed structure of Cs2Tl2S3, from the Alexandria database.

- Total magnetization: 0.0 μB per formula unit

Cell: 8.0540 8.0430 8.6952 Å, 90.00 90.00 110.42°
Closest atoms and distances in Å follow each position.
Atoms (fractional coordinates):
1 Tl 0.9370 0.6745 0.3842  4 S 2.68-2.83
2 Tl 0.0630 0.3255 0.6158  4 S 2.68-2.83
3 Tl 0.5630 0.3255 0.8842  4 S 2.68-2.83
4 S 0.2650 0.4348 0.8801  3 Tl 2.78-2.83
5 Cs 0.4307 0.2130 0.3499  5 S 3.54-3.70
6 Cs 0.9307 0.2130 0.1501  5 S 3.54-3.70
7 Tl 0.4370 0.6745 0.1158  4 S 2.68-2.83
8 S 0.7650 0.4348 0.6199  3 Tl 2.78-2.83
9 Cs 0.5693 0.7870 0.6501  5 S 3.54-3.70
10 Cs 0.0693 0.7870 0.8499  5 S 3.54-3.70
11 S 0.5000 0.0000 0.0000  2 Tl 2.68
12 S 0.2350 0.5652 0.3801  3 Tl 2.78-2.83
13 S 0.0000 0.0000 0.5000  2 Tl 2.68
14 S 0.7350 0.5652 0.1199  3 Tl 2.78-2.83



--- 2 ---
The following is a PBE calculation of a relaxed structure of Cs2Tl2S3, from the Alexandria database.

- Total magnetization: 0.0 μB per formula unit

Cell: 4.6468 8.0415 8.5314 Å, 116.73 105.80 90.00°
Closest atoms and distances in Å follow each position.
Atoms (fractional coordinates):
1 Tl 0.1675 0.3048 0.3351  4 S 2.70-2.91
2 Cs 0.6020 0.8308 0.2041  5 S 3.49-3.61
3 Cs 0.3980 0.1692 0.7959  5 S 3.49-3.61
4 Tl 0.8325 0.6952 0.6649  4 S 2.70-2.91
5 S 0.7770 0.3168 0.5540  3 Tl 2.74-2.91
6 S 0.0000 0.0000 0.0000  2 Tl 2.70
7 S 0.2230 0.6832 0.4460  3 Tl 2.74-2.91



Stability ranking, top entry: 1; the second entry is 17 meV/atom less favorable.



--- 1 ---
The following is a PBE calculation of a relaxed structure of CsTl2S, from the Alexandria database.

- Total magnetization: 0.0 μB per formula unit

Cell: 9.2573 9.2573 7.3993 Å, 51.28 51.28 90.00°
Closest atoms and distances in Å follow each position.
Atoms (fractional coordinates):
1 Tl 0.3750 0.4426 0.7500  2 S 2.99
2 Tl 0.5574 0.1250 0.2500  2 S 2.99
3 Cs 0.0000 0.0000 0.0000  2 S 3.45, 8 Tl 3.84-3.86
4 Tl 0.1926 0.6250 0.2500  2 S 2.99
5 S 0.2500 0.7500 0.5000  4 Tl 2.99
6 S 0.5000 0.5000 0.0000  4 Tl 2.99
7 Tl 0.8750 0.8074 0.7500  2 S 2.99
8 Cs 0.7500 0.2500 0.5000  2 S 3.45, 8 Tl 3.84-3.86



--- 2 ---
The following is a PBE calculation of a relaxed structure of CsTl2S, from the Alexandria database.

- Total magnetization: 0.0 μB per formula unit

Cell: 5.7438 5.7438 5.7438 Å, 60.00 60.00 60.00°
Closest atoms and distances in Å follow each position.
Atoms (fractional coordinates):
1 S 0.0000 0.0000 0.0000  8 Tl 3.52
2 Tl 0.7500 0.7500 0.7500  4 S 3.52, 4 Cs 3.52
3 Tl 0.2500 0.2500 0.2500  4 Cs 3.52, 4 S 3.52
4 Cs 0.5000 0.5000 0.5000  8 Tl 3.52



Stability ranking, top entry: 1; the second entry is 254 meV/atom less favorable.